(1)
{
  "formula": "LiZrHg2",
  "functional": "PBE-GGA",
  "state": "optimized geometry",
  "e_form_ev_per_atom": -0.12,
  "lattice_angstrom": [[5.7197, 0.1499, 0.2699], [4.8615, 3.0171, 0.2699], [0.8690, 0.2601, 5.2160]],
  "species": ["Hg", "Hg", "Zr", "Li"],
  "frac_coords": [[0.0131, 0.0131, 0.0702], [0.7317, 0.7317, 0.6830], [0.2726, 0.2726, 0.1751], [0.4826, 0.4826, 0.5718]]
}

***

(2)
{
  "formula": "TlCrCu",
  "functional": "PBE-GGA",
  "state": "optimized geometry",
  "e_form_ev_per_atom": 0.66,
  "e_above_lowest_polymorph_ev_per_fu": 0.45,
  "lattice_angstrom": [[-0.6286, -3.1266, -0.0420], [3.0063, 1.0182, 0.3130], [-0.6769, 0.0510, 6.3361]],
  "species": ["Tl", "Cr", "Cu"],
  "frac_coords": [[0.3333, 0.6667, 0.6592], [0.0000, 0.0000, 0.0272], [0.6667, 0.3333, 0.3135]]
}